[1]
Compound: TaMo2Ir
Source: Alexandria via LeMat-Bulk
Functional: GGA-PBE
Structure: relaxed

## Properties
Energy = -10.68 eV per atom
DOS at the Fermi energy = 3.73 states/eV per cell
Energy of formation from the pure elements = -87 meV/atom

a b c (Å): 2.7626 4.5340 5.2210
angles (deg): 90.00 101.12 90.00
Space group P2/m (No. 10)
Symmetry-distinct sites (fractional):
Ta  0.0000  0.0000  0.0000 (multiplicity 1)
Mo  0.2274  0.5000  0.7513 (multiplicity 2)
Ir  0.5000  0.0000  0.5000 (multiplicity 1)

[2]
Compound: VP2RhCl
Source: Alexandria via LeMat-Bulk
Functional: GGA-PBE
Structure: relaxed

## Properties
Formation energy from raw total energies = 551.6 meV per atom
Energy = -5.28 eV per atom
DOS at the Fermi energy = 6.90 states/eV per cell

a b c (Å): 4.5484 4.5484 4.4667
angles (deg): 90.00 90.00 90.00
Space group P4/mmm (No. 123)
Symmetry-distinct sites (fractional):
V  0.0000  0.0000  0.0000 (multiplicity 1)
P  0.0000  0.5000  0.0000 (multiplicity 2)
Rh  0.5000  0.5000  0.5000 (multiplicity 1)
Cl  0.0000  0.0000  0.5000 (multiplicity 1)

[3]
Compound: K12Sn3I5
Source: Alexandria via LeMat-Bulk
Functional: GGA-PBE
Structure: relaxed

## Properties
Formation energy from raw total energies = -654.1 meV per atom
Energy = -2.30 eV per atom
DOS at the Fermi energy = 80.34 states/eV per cell

a b c (Å): 20.8011 20.8011 20.8011
angles (deg): 90.00 90.00 90.00
Space group Ia-3d (No. 230)
Symmetry-distinct sites (fractional):
K  0.0151  0.0719  0.6539 (multiplicity 96)
Sn  0.0000  0.2500  0.1250 (multiplicity 24)
I  0.0000  0.0000  0.0000 (multiplicity 16)
I  0.0000  0.2500  0.3750 (multiplicity 24)

[4]
Compound: CaHoGa
Source: Alexandria via LeMat-Bulk
Functional: GGA-PBE
Structure: relaxed

## Properties
Energy = -3.48 eV per atom
DOS at the Fermi energy = 3.27 states/eV per cell
Energy of formation from the pure elements = -278 meV/atom

a b c (Å): 4.9792 4.9792 8.1742
angles (deg): 90.00 90.00 120.00
Space group P-3m1 (No. 164)
Symmetry-distinct sites (fractional):
Ca  0.3333  0.6667  0.3532 (multiplicity 2)
Ho  0.3333  0.6667  0.9015 (multiplicity 2)
Ga  0.0000  0.0000  0.1730 (multiplicity 2)

[5]
Compound: KSr2Be
Source: Alexandria via LeMat-Bulk
Functional: GGA-PBE
Structure: relaxed

## Properties
Energy = -1.60 eV per atom
DOS at the Fermi energy = 4.73 states/eV per cell
Energy of formation from the pure elements = 450 meV/atom

a b c (Å): 4.1277 4.1277 10.2590
angles (deg): 90.00 90.00 90.00
Space group P4mm (No. 99)
Symmetry-distinct sites (fractional):
K  0.0000  0.0000  0.0000 (multiplicity 1)
Sr  0.0000  0.0000  0.6412 (multiplicity 1)
Sr  0.5000  0.5000  0.3530 (multiplicity 1)
Be  0.5000  0.5000  0.7650 (multiplicity 1)

[6]
Compound: CuPd2Rh
Source: Alexandria via LeMat-Bulk
Functional: GGA-PBE
Structure: relaxed

## Properties
Energy = -5.44 eV per atom
DOS at the Fermi energy = 19.41 states/eV per cell
Energy of formation from the pure elements = 21 meV/atom

a b c (Å): 2.7487 2.7487 26.3940
angles (deg): 90.00 90.00 120.00
Space group R-3m (No. 166, hexagonal axes)
Symmetry-distinct sites (fractional):
Cu  0.0000  0.0000  0.0000 (multiplicity 3)
Pd  0.0000  0.0000  0.2526 (multiplicity 6)
Rh  0.0000  0.0000  0.5000 (multiplicity 3)

[7]
Compound: AcLa6In3
Source: Alexandria via LeMat-Bulk
Functional: GGA-PBE
Structure: relaxed

## Properties
Energy = -4.40 eV per atom
DOS at the Fermi energy = 50.47 states/eV per cell
Energy of formation from the pure elements = -214 meV/atom

a b c (Å): 15.0358 12.7803 7.3185
angles (deg): 90.00 90.00 90.00
Space group Cmc2_1 (No. 36)
Symmetry-distinct sites (fractional):
Ac  0.0000  0.2192  0.0000 (multiplicity 4)
La  0.0000  0.2328  0.4690 (multiplicity 4)
La  0.0000  0.4871  0.9504 (multiplicity 4)
La  0.1837  0.0261  0.4676 (multiplicity 8)
La  0.1993  0.3153  0.6782 (multiplicity 8)
In  0.0000  0.0101  0.7228 (multiplicity 4)
In  0.1561  0.3808  0.2290 (multiplicity 8)

[8]
Compound: LiScRuS2
Source: Alexandria via LeMat-Bulk
Functional: GGA-PBE
Structure: relaxed

## Properties
Formation energy from raw total energies = 121.9 meV per atom
Energy = -5.03 eV per atom
DOS at the Fermi energy = 5.69 states/eV per cell

a b c (Å): 4.9960 4.9960 4.7096
angles (deg): 90.00 90.00 90.00
Space group P4/mmm (No. 123)
Symmetry-distinct sites (fractional):
Li  0.0000  0.0000  0.0000 (multiplicity 1)
Sc  0.5000  0.5000  0.5000 (multiplicity 1)
Ru  0.5000  0.5000  0.0000 (multiplicity 1)
S  0.0000  0.5000  0.5000 (multiplicity 2)

[9]
Compound: Hf2VH
Source: Alexandria via LeMat-Bulk
Functional: GGA-PBE
Structure: relaxed

## Properties
Energy = -7.77 eV per atom
DOS at the Fermi energy = 4.78 states/eV per cell

a b c (Å): 3.0000 3.0000 6.8783
angles (deg): 90.00 90.00 90.00
Space group P4/mmm (No. 123)
Symmetry-distinct sites (fractional):
Hf  0.0000  0.0000  0.2251 (multiplicity 2)
V  0.5000  0.5000  0.5000 (multiplicity 1)
H  0.5000  0.5000  0.0000 (multiplicity 1)

[10]
Compound: In3MoPd12
Source: Alexandria via LeMat-Bulk
Functional: GGA-PBE
Structure: relaxed

## Properties
Energy = -5.44 eV per atom
DOS at the Fermi energy = 10.91 states/eV per cell
Energy of formation from the pure elements = -355 meV/atom

a b c (Å): 3.9957 3.9957 16.1823
angles (deg): 90.00 90.00 90.00
Space group P4/mmm (No. 123)
Symmetry-distinct sites (fractional):
In  0.0000  0.0000  0.0000 (multiplicity 1)
In  0.0000  0.0000  0.2496 (multiplicity 2)
Mo  0.0000  0.0000  0.5000 (multiplicity 1)
Pd  0.0000  0.5000  0.1269 (multiplicity 4)
Pd  0.0000  0.5000  0.3837 (multiplicity 4)
Pd  0.5000  0.5000  0.0000 (multiplicity 1)
Pd  0.5000  0.5000  0.2559 (multiplicity 2)
Pd  0.5000  0.5000  0.5000 (multiplicity 1)

[11]
Compound: La3ZrMo
Source: Alexandria via LeMat-Bulk
Functional: GGA-PBE
Structure: relaxed

## Properties
Energy = -5.43 eV per atom
DOS at the Fermi energy = 23.05 states/eV per cell
Energy of formation from the pure elements = 1398 meV/atom

a b c (Å): 5.5355 5.5355 5.5355
angles (deg): 90.00 90.00 90.00
Space group Pm-3m (No. 221)
Symmetry-distinct sites (fractional):
La  0.0000  0.0000  0.5000 (multiplicity 3)
Zr  0.0000  0.0000  0.0000 (multiplicity 1)
Mo  0.5000  0.5000  0.5000 (multiplicity 1)

[12]
Compound: SbRuAu
Source: Alexandria via LeMat-Bulk
Functional: GGA-PBE
Structure: relaxed

## Properties
Formation energy from raw total energies = 238.5 meV per atom
Energy = -5.32 eV per atom
DOS at the Fermi energy = 2.07 states/eV per cell

a b c (Å): 4.3806 4.3806 3.4094
angles (deg): 90.00 90.00 120.00
Space group P3m1 (No. 156)
Symmetry-distinct sites (fractional):
Sb  0.0000  0.0000  0.0000 (multiplicity 1)
Ru  0.3333  0.6667  0.8801 (multiplicity 1)
Au  0.6667  0.3333  0.4209 (multiplicity 1)

[13]
Compound: LaReAs2
Source: Alexandria via LeMat-Bulk
Functional: GGA-PBE
Structure: relaxed

## Properties
Energy = -6.81 eV per atom
DOS at the Fermi energy = 6.05 states/eV per cell
Energy of formation from the pure elements = -143 meV/atom

a b c (Å): 5.2262 5.2262 15.1523
angles (deg): 90.00 90.00 90.00
Space group I-42d (No. 122)
Symmetry-distinct sites (fractional):
La  0.0000  0.0000  0.0000 (multiplicity 4)
Re  0.0000  0.0000  0.5000 (multiplicity 4)
As  0.1300  0.2500  0.6250 (multiplicity 8)

[14]
Compound: PmThRuI
Source: Alexandria via LeMat-Bulk
Functional: GGA-PBE
Structure: relaxed

## Properties
Formation energy from raw total energies = -731.1 meV per atom
Energy = -6.48 eV per atom
DOS at the Fermi energy = 2.44 states/eV per cell

a b c (Å): 4.1333 4.1333 24.7562
angles (deg): 90.00 90.00 120.00
Space group R3m (No. 160, hexagonal axes)
Symmetry-distinct sites (fractional):
Pm  0.0000  0.0000  0.0000 (multiplicity 3)
Th  0.0000  0.0000  0.7875 (multiplicity 3)
Ru  0.0000  0.0000  0.4003 (multiplicity 3)
I  0.0000  0.0000  0.2303 (multiplicity 3)

[15]
Compound: Ga4ReRu5
Source: Alexandria via LeMat-Bulk
Functional: GGA-PBE
Structure: relaxed

## Properties
Energy = -7.32 eV per atom
DOS at the Fermi energy = 8.23 states/eV per cell
Energy of formation from the pure elements = -226 meV/atom

a b c (Å): 2.9801 2.9801 15.7660
angles (deg): 90.00 90.00 90.00
Space group P4/mmm (No. 123)
Symmetry-distinct sites (fractional):
Ga  0.0000  0.0000  0.0981 (multiplicity 2)
Ga  0.0000  0.0000  0.2918 (multiplicity 2)
Re  0.0000  0.0000  0.5000 (multiplicity 1)
Ru  0.5000  0.5000  0.0000 (multiplicity 1)
Ru  0.5000  0.5000  0.1961 (multiplicity 2)
Ru  0.5000  0.5000  0.3940 (multiplicity 2)

[16]
Compound: La3Ge2Rh2
Source: Alexandria via LeMat-Bulk
Functional: GGA-PBE
Structure: relaxed

## Properties
Energy = -6.43 eV per atom
DOS at the Fermi energy = 24.90 states/eV per cell
Energy of formation from the pure elements = -897 meV/atom

a b c (Å): 5.7560 8.2688 13.6699
angles (deg): 90.00 90.00 90.00
Space group Pbcm (No. 57)
Symmetry-distinct sites (fractional):
La  0.1458  0.2464  0.2500 (multiplicity 4)
La  0.3476  0.6054  0.0973 (multiplicity 8)
Ge  0.1519  0.2500  0.0000 (multiplicity 4)
Ge  0.3512  0.6056  0.7500 (multiplicity 4)
Rh  0.1179  0.5403  0.5915 (multiplicity 8)

[17]
Compound: BaInIN2
Source: Alexandria via LeMat-Bulk
Functional: GGA-PBE
Structure: relaxed

## Properties
Formation energy from raw total energies = 964.3 meV per atom
Energy = -3.61 eV per atom
DOS at the Fermi energy = 2.23 states/eV per cell

a b c (Å): 5.2558 5.2558 7.0493
angles (deg): 90.00 90.00 90.00
Space group P4/mmm (No. 123)
Symmetry-distinct sites (fractional):
Ba  0.0000  0.0000  0.0000 (multiplicity 1)
In  0.5000  0.5000  0.5000 (multiplicity 1)
I  0.0000  0.0000  0.5000 (multiplicity 1)
N  0.0000  0.5000  0.0000 (multiplicity 2)